Record 1
A relaxed AlPdW crystal. Source: Alexandria via LeMat-Bulk, functional PBE.

Summary:
Raw total energy ... -7.505 eV/atom
Space group ... Amm2, No. 38
Formation enthalpy at 0 K ... -209 meV per atom
DOS at the Fermi energy ... 0.70 states/eV/atom

abc: 13.0935 2.8257 2.8257
angles: 61.52 90.00 90.00
Positions (direct):
Al 0.1717 0.0000 0.0000
Al 0.8283 0.0000 0.0000
Pd 0.3262 0.6625 0.6625
Pd 0.6738 0.6625 0.6625
W 0.0000 0.6624 0.6624
W 0.5000 0.0014 0.0014

***

Record 2
A relaxed La7Nd3Y crystal. Source: Alexandria via LeMat-Bulk, functional PBE.

Summary:
Raw total energy ... -4.811 eV/atom
Space group ... C2/m, No. 12
Formation enthalpy at 0 K ... 213 meV per atom
Energy above the most stable polymorph in this dataset ... 0.62 eV/f.u.
DOS at the Fermi energy ... 1.61 states/eV/atom

abc: 7.8869 7.8869 6.6175
angles: 93.85 93.85 82.27
Positions (direct):
La 0.0000 0.0000 0.0000
La 0.0703 0.4264 0.2651
La 0.2611 0.2611 0.7862
La 0.4264 0.0703 0.2651
La 0.5736 0.9297 0.7349
La 0.7389 0.7389 0.2138
La 0.9297 0.5736 0.7349
Nd 0.3296 0.6704 0.0000
Nd 0.5000 0.5000 0.5000
Nd 0.6704 0.3296 0.0000
Y 0.0000 0.0000 0.5000

***

Record 3
A relaxed ZrTlSe2 crystal. Source: Alexandria via LeMat-Bulk, functional PBE.

Summary:
Formation energy without anion corrections ... -0.77 eV per atom
Raw total energy ... -5.243 eV/atom
Space group ... P4mm, No. 99
DOS at the Fermi energy ... 0.62 states/eV/atom

abc: 3.7029 3.7029 8.8058
angles: 90.00 90.00 90.00
Positions (direct):
Zr 0.0000 0.0000 0.0000
Tl 0.5000 0.5000 0.4786
Se 0.0000 0.0000 0.2812
Se 0.5000 0.5000 0.8974

***

Record 4
A relaxed TbPm2HoEr crystal. Source: Alexandria via LeMat-Bulk, functional PBE.

Summary:
Raw total energy ... -4.222 eV/atom
Space group ... Cmcm, No. 63
Formation enthalpy at 0 K ... 432 meV per atom
DOS at the Fermi energy ... 1.59 states/eV/atom

abc: 7.1123 7.1123 7.2525
angles: 90.00 90.00 107.86
Positions (direct):
Tb 0.0126 0.9874 0.7500
Tb 0.9874 0.0126 0.2500
Pm 0.3082 0.3082 0.0000
Pm 0.3082 0.3082 0.5000
Pm 0.6918 0.6918 0.0000
Pm 0.6918 0.6918 0.5000
Ho 0.2805 0.7195 0.7500
Ho 0.7195 0.2805 0.2500
Er 0.2676 0.7324 0.2500
Er 0.7324 0.2676 0.7500

***

Record 5
A relaxed PuTl2Br2F2 crystal. Source: Alexandria via LeMat-Bulk, functional PBE.

Summary:
Formation energy without anion corrections ... -1.79 eV per atom
Raw total energy ... -5.523 eV/atom
Space group ... I4/mmm, No. 139
DOS at the Fermi energy ... 1.69 states/eV/atom

abc: 9.8887 9.8887 9.8887
angles: 152.35 152.35 39.51
Positions (direct):
Pu 0.0000 0.0000 0.0000
Tl 0.3457 0.3457 0.0000
Tl 0.6543 0.6543 0.0000
Br 0.1637 0.1637 0.0000
Br 0.8363 0.8363 0.0000
F 0.0000 0.5000 0.5000
F 0.5000 0.0000 0.5000

***

Record 6
A relaxed Rb3IF6 crystal. Source: Alexandria via LeMat-Bulk, functional PBE.

Summary:
Formation energy without anion corrections ... -2.22 eV per atom
Raw total energy ... -3.785 eV/atom
Space group ... P2_1/c, No. 14
Energy above the most stable polymorph in this dataset ... 0.00 eV/f.u.
DOS at the Fermi energy ... 0.00 states/eV/atom

abc: 5.2335 6.6711 14.2376
angles: 90.00 109.56 90.00
Positions (direct):
Rb 0.0000 0.0000 0.0000
Rb 0.0000 0.5000 0.5000
Rb 0.2412 0.0731 0.7583
Rb 0.2412 0.4269 0.2583
Rb 0.7588 0.5731 0.7417
Rb 0.7588 0.9269 0.2417
I 0.5000 0.0000 0.5000
I 0.5000 0.5000 0.0000
F 0.1227 0.1121 0.4232
F 0.1227 0.3879 0.9232
F 0.2263 0.0331 0.2013
F 0.2263 0.4669 0.7013
F 0.3957 0.7184 0.4424
F 0.3957 0.7816 0.9424
F 0.6043 0.2184 0.0576
F 0.6043 0.2816 0.5576
F 0.7737 0.5331 0.2987
F 0.7737 0.9669 0.7987
F 0.8773 0.6121 0.0768
F 0.8773 0.8879 0.5768

***

Record 7
A relaxed UBi2S5 crystal. Source: Alexandria via LeMat-Bulk, functional PBE.

Summary:
Formation energy without anion corrections ... -0.68 eV per atom
Raw total energy ... -5.639 eV/atom
Space group ... Pnma, No. 62
DOS at the Fermi energy ... 1.09 states/eV/atom

abc: 11.9270 8.1511 7.8381
angles: 90.00 90.00 90.00
Positions (direct):
U 0.0012 0.2500 0.0737
U 0.4988 0.7500 0.5737
U 0.5012 0.2500 0.4263
U 0.9988 0.7500 0.9263
Bi 0.1790 0.5114 0.4816
Bi 0.1790 0.9886 0.4816
Bi 0.3210 0.0114 0.9816
Bi 0.3210 0.4886 0.9816
Bi 0.6790 0.5114 0.0184
Bi 0.6790 0.9886 0.0184
Bi 0.8210 0.0114 0.5184
Bi 0.8210 0.4886 0.5184
S 0.0028 0.7500 0.5571
S 0.0918 0.5407 0.1580
S 0.0918 0.9593 0.1580
S 0.1850 0.2500 0.8506
S 0.2176 0.7500 0.8108
S 0.2824 0.2500 0.3108
S 0.3150 0.7500 0.3506
S 0.4082 0.0407 0.6580
S 0.4082 0.4593 0.6580
S 0.4972 0.2500 0.0571
S 0.5028 0.7500 0.9429
S 0.5918 0.5407 0.3420
S 0.5918 0.9593 0.3420
S 0.6850 0.2500 0.6494
S 0.7176 0.7500 0.6892
S 0.7824 0.2500 0.1892
S 0.8150 0.7500 0.1494
S 0.9082 0.0407 0.8420
S 0.9082 0.4593 0.8420
S 0.9972 0.2500 0.4429

***

Record 8
A relaxed BiHSe crystal. Source: Alexandria via LeMat-Bulk, functional PBE.

Summary:
Raw total energy ... -3.617 eV/atom
Space group ... P-1, No. 2
Energy above the most stable polymorph in this dataset ... 0.00 eV/f.u.

abc: 4.1129 4.1130 11.8101
angles: 81.66 81.70 60.13
Positions (direct):
Bi 0.1332 0.1327 0.1183
Bi 0.8668 0.8673 0.8817
H 0.0329 0.0388 0.5200
H 0.9671 0.9612 0.4800
Se 0.2373 0.2384 0.7468
Se 0.7627 0.7616 0.2532

***

Record 9
A relaxed CeSmGeN crystal. Source: Alexandria via LeMat-Bulk, functional PBE.

Summary:
Formation energy without anion corrections ... -1.05 eV per atom
Raw total energy ... -6.945 eV/atom
Space group ... P4/nmm, No. 129
DOS at the Fermi energy ... 0.37 states/eV/atom

abc: 4.5655 4.5655 8.7135
angles: 90.00 90.00 90.00
Positions (direct):
Ce 0.2500 0.2500 0.1608
Ce 0.7500 0.7500 0.8392
Sm 0.2500 0.7500 0.5000
Sm 0.7500 0.2500 0.5000
Ge 0.2500 0.2500 0.8032
Ge 0.7500 0.7500 0.1968
N 0.2500 0.2500 0.4034
N 0.7500 0.7500 0.5966

***

Record 10
A relaxed ZnGaS2Cl crystal. Source: Alexandria via LeMat-Bulk, functional PBE.

Summary:
Formation energy without anion corrections ... 0.02 eV per atom
Raw total energy ... -2.856 eV/atom
Space group ... P4/mmm, No. 123
Energy above the most stable polymorph in this dataset ... 0.00 eV/f.u.
DOS at the Fermi energy ... 1.14 states/eV/atom

abc: 4.6329 4.6329 5.3348
angles: 90.00 90.00 90.00
Positions (direct):
Zn 0.0000 0.0000 0.0000
Ga 0.5000 0.5000 0.5000
S 0.0000 0.5000 0.0000
S 0.5000 0.0000 0.0000
Cl 0.0000 0.0000 0.5000

***

Record 11
A relaxed CaLa2Sc2In5 crystal. Source: Alexandria via LeMat-Bulk, functional PBE.

Summary:
Raw total energy ... -4.206 eV/atom
Space group ... P4/mbm, No. 127
Formation enthalpy at 0 K ... -385 meV per atom
DOS at the Fermi energy ... 0.94 states/eV/atom

abc: 10.7252 10.7252 4.7456
angles: 90.00 90.00 90.00
Positions (direct):
Ca 0.0000 0.0000 0.0000
Ca 0.5000 0.5000 0.0000
La 0.1807 0.3193 0.0000
La 0.3193 0.8193 0.0000
La 0.6807 0.1807 0.0000
La 0.8193 0.6807 0.0000
Sc 0.1169 0.6169 0.0000
Sc 0.3831 0.1169 0.0000
Sc 0.6169 0.8831 0.0000
Sc 0.8831 0.3831 0.0000
In 0.0000 0.5000 0.5000
In 0.0636 0.7937 0.5000
In 0.2063 0.0636 0.5000
In 0.2937 0.5636 0.5000
In 0.4364 0.2937 0.5000
In 0.5000 0.0000 0.5000
In 0.5636 0.7063 0.5000
In 0.7063 0.4364 0.5000
In 0.7937 0.9364 0.5000
In 0.9364 0.2063 0.5000

***

Record 12
A relaxed Ac2Zn4CdSi3 crystal. Source: Alexandria via LeMat-Bulk, functional PBE.

Summary:
Formation energy without anion corrections ... -0.36 eV per atom
Raw total energy ... -3.407 eV/atom
Space group ... P-4m2, No. 115
DOS at the Fermi energy ... 0.16 states/eV/atom

abc: 4.4479 4.4479 10.5270
angles: 90.00 90.00 90.00
Positions (direct):
Ac 0.0000 0.5000 0.2413
Ac 0.5000 0.0000 0.7587
Zn 0.0000 0.0000 0.0000
Zn 0.0000 0.5000 0.6383
Zn 0.5000 0.0000 0.3617
Zn 0.5000 0.5000 0.0000
Cd 0.0000 0.0000 0.5000
Si 0.0000 0.5000 0.8729
Si 0.5000 0.0000 0.1271
Si 0.5000 0.5000 0.5000

***

Record 13
A relaxed Mn7Cr crystal. Source: Alexandria via LeMat-Bulk, functional PBE.

Summary:
Raw total energy ... -9.115 eV/atom
Space group ... Fm-3m, No. 225
Formation enthalpy at 0 K ... 111 meV per atom
DOS at the Fermi energy ... 1.65 states/eV/atom

abc: 4.9918 4.9918 4.9918
angles: 60.00 60.00 60.00
Positions (direct):
Mn 0.0000 0.0000 0.0000
Mn 0.0000 0.0000 0.5000
Mn 0.0000 0.5000 0.0000
Mn 0.0000 0.5000 0.5000
Mn 0.5000 0.0000 0.0000
Mn 0.5000 0.0000 0.5000
Mn 0.5000 0.5000 0.0000
Cr 0.5000 0.5000 0.5000

***

Record 14
A relaxed Tl5Bi2Pb4 crystal. Source: Alexandria via LeMat-Bulk, functional PBE.

Summary:
Raw total energy ... -3.095 eV/atom
Space group ... P-1, No. 2
Formation enthalpy at 0 K ... 35 meV per atom
Energy above the most stable polymorph in this dataset ... 0.00 eV/f.u.
DOS at the Fermi energy ... 0.49 states/eV/atom

abc: 3.5034 9.4183 11.2373
angles: 98.22 98.60 90.13
Positions (direct):
Tl 0.0000 0.0000 0.0000
Tl 0.0654 0.4050 0.1363
Tl 0.1811 0.9314 0.3627
Tl 0.8189 0.0686 0.6373
Tl 0.9346 0.5950 0.8637
Bi 0.3063 0.3915 0.6127
Bi 0.6937 0.6085 0.3873
Pb 0.3243 0.7519 0.6404
Pb 0.4354 0.2661 0.8717
Pb 0.5646 0.7339 0.1283
Pb 0.6757 0.2481 0.3596

***

Record 15
A relaxed PaSnHg2O6 crystal. Source: Alexandria via LeMat-Bulk, functional PBE.

Summary:
Formation energy without anion corrections ... -1.70 eV per atom
Raw total energy ... -6.087 eV/atom
Space group ... R-3, No. 148
DOS at the Fermi energy ... 0.24 states/eV/atom

abc: 5.9992 5.9992 5.9992
angles: 58.15 58.15 58.15
Positions (direct):
Pa 0.0000 0.0000 0.0000
Sn 0.5000 0.5000 0.5000
Hg 0.2470 0.2470 0.2470
Hg 0.7530 0.7530 0.7530
O 0.1658 0.7444 0.3457
O 0.2556 0.6543 0.8342
O 0.3457 0.1658 0.7444
O 0.6543 0.8342 0.2556
O 0.7444 0.3457 0.1658
O 0.8342 0.2556 0.6543

***

Record 16
A relaxed Dy2HoInN4 crystal. Source: Alexandria via LeMat-Bulk, functional PBE.

Summary:
Formation energy without anion corrections ... -1.21 eV per atom
Raw total energy ... -7.435 eV/atom
Space group ... P2/m, No. 10

abc: 5.9583 3.4469 5.9653
angles: 90.00 110.41 90.00
Positions (direct):
Dy 0.0000 0.0000 0.0000
Dy 0.0000 0.5000 0.5000
Ho 0.5000 0.0000 0.5000
In 0.5000 0.5000 0.0000
N 0.2449 0.5000 0.2570
N 0.2509 0.0000 0.7498
N 0.7491 0.0000 0.2502
N 0.7551 0.5000 0.7430

***

Record 17
A relaxed AcPrDy2P4 crystal. Source: Alexandria via LeMat-Bulk, functional PBE.

Summary:
Raw total energy ... -6.481 eV/atom
Space group ... P2/m, No. 10
Formation enthalpy at 0 K ... -1514 meV per atom
DOS at the Fermi energy ... 0.10 states/eV/atom

abc: 7.2219 4.1697 7.2249
angles: 90.00 109.42 90.00
Positions (direct):
Ac 0.0000 0.0000 0.0000
Pr 0.0000 0.5000 0.5000
Dy 0.5000 0.0000 0.5000
Dy 0.5000 0.5000 0.0000
P 0.2654 0.0000 0.7501
P 0.2698 0.5000 0.2619
P 0.7302 0.5000 0.7381
P 0.7346 0.0000 0.2499

***

Record 18
A relaxed Sr6Hg5As crystal. Source: Alexandria via LeMat-Bulk, functional PBE.

Summary:
Raw total energy ... -1.984 eV/atom
Space group ... C2/m, No. 12
Formation enthalpy at 0 K ... -630 meV per atom
DOS at the Fermi energy ... 0.55 states/eV/atom

abc: 9.7637 9.7637 5.6068
angles: 106.63 106.63 47.69
Positions (direct):
Sr 0.0820 0.5954 0.3387
Sr 0.2389 0.7611 0.0000
Sr 0.4046 0.9180 0.6613
Sr 0.5954 0.0820 0.3387
Sr 0.7611 0.2389 0.0000
Sr 0.9180 0.4046 0.6613
Hg 0.1789 0.1789 0.1791
Hg 0.3348 0.3348 0.8343
Hg 0.5000 0.5000 0.5000
Hg 0.6652 0.6652 0.1657
Hg 0.8211 0.8211 0.8209
As 0.0000 0.0000 0.5000

***

Record 19
A relaxed LiYAgC2 crystal. Source: Alexandria via LeMat-Bulk, functional PBE.

Summary:
Raw total energy ... -4.644 eV/atom
Space group ... P4/mmm, No. 123
Formation enthalpy at 0 K ... 1292 meV per atom
DOS at the Fermi energy ... 0.48 states/eV/atom

abc: 4.1417 4.1417 4.0491
angles: 90.00 90.00 90.00
Positions (direct):
Li 0.0000 0.0000 0.0000
Y 0.5000 0.5000 0.5000
Ag 0.0000 0.0000 0.5000
C 0.0000 0.5000 0.0000
C 0.5000 0.0000 0.0000

***

Record 20
A relaxed InMoPb2 crystal. Source: Alexandria via LeMat-Bulk, functional PBE.

Summary:
Raw total energy ... -4.746 eV/atom
Space group ... P4/mmm, No. 123
Formation enthalpy at 0 K ... 501 meV per atom
DOS at the Fermi energy ... 0.62 states/eV/atom

abc: 3.3158 3.3158 9.2160
angles: 90.00 90.00 90.00
Positions (direct):
In 0.0000 0.0000 0.0000
Mo 0.0000 0.0000 0.5000
Pb 0.5000 0.5000 0.2935
Pb 0.5000 0.5000 0.7065